# 1
VASP calculation (PBE) on an optimized crystal structure of Np2Tc2P2C.

```
Np2Tc2P2C
1.0
5.516 -1.961 0.000
5.516 1.961 0.000
-3.452 0.000 5.418
Np Tc P C
2 2 2 1
direct
0.054 0.054 0.303
0.946 0.946 0.697
0.302 0.302 0.909
0.698 0.698 0.091
0.322 0.322 0.302
0.678 0.678 0.698
0.500 0.500 0.000
```

E_form	-506	meV per atom
magnetic moment	7.7	Bohr magnetons per cell
symmetry	C2/m (12)



# 2
VASP calculation (PBE) on an optimized crystal structure of CsGaPb.

```
CsGaPb
1.0
4.793 0.000 0.000
-2.396 4.151 0.000
0.000 0.000 6.322
Cs Ga Pb
1 1 1
direct
0.000 0.000 0.000
0.333 0.667 0.534
0.667 0.333 0.480
```

E_form	-115	meV per atom
magnetic moment	0.0	Bohr magnetons per cell
symmetry	P3m1 (156)



# 3
VASP calculation (PBE) on an optimized crystal structure of SrH2BrO.

```
SrH2BrO
1.0
1.961 -6.228 0.000
1.961 6.228 0.000
0.000 0.000 6.383
Sr H Br O
2 4 2 2
direct
0.096 0.904 0.750
0.904 0.096 0.250
0.448 0.552 0.670
0.448 0.552 0.830
0.552 0.448 0.170
0.552 0.448 0.330
0.215 0.785 0.250
0.785 0.215 0.750
0.500 0.500 0.000
0.500 0.500 0.500
```

magnetic moment	0.5	Bohr magnetons per cell
total energy	-4.11	eV per atom
symmetry	Cmcm (63)



# 4
VASP calculation (PBE) on an optimized crystal structure of Hf2NiSnH.

```
Hf2NiSnH
1.0
4.306 0.000 0.000
0.000 4.306 0.000
0.000 0.000 4.056
Hf Ni Sn H
2 1 1 1
direct
0.000 0.500 0.000
0.500 0.000 0.000
0.000 0.000 0.500
0.500 0.500 0.500
0.000 0.000 0.000
```

magnetic moment	0.0	Bohr magnetons per cell
total energy	-6.91	eV per atom
symmetry	P4/mmm (123)



# 5
VASP calculation (PBE) on an optimized crystal structure of CoTc2Ir2.

```
CoTc2Ir2
1.0
4.253 -1.895 0.000
4.253 1.895 0.000
-4.172 0.000 4.271
Co Tc Ir
1 2 2
direct
0.000 0.000 0.000
0.205 0.205 0.606
0.795 0.795 0.394
0.407 0.407 0.200
0.593 0.593 0.800
```

E_form	-82	meV per atom
magnetic moment	0.0	Bohr magnetons per cell
symmetry	C2/m (12)



# 6
VASP calculation (PBE) on an optimized crystal structure of UCuIrRh.

```
UCuIrRh
1.0
0.000 3.226 3.226
3.226 0.000 3.226
3.226 3.226 0.000
U Cu Ir Rh
1 1 1 1
direct
0.000 0.000 0.000
0.500 0.500 0.500
0.250 0.250 0.250
0.750 0.750 0.750
```

E_form	-295	meV per atom
magnetic moment	1.4	Bohr magnetons per cell
symmetry	F-43m (216)



# 7
VASP calculation (PBE) on an optimized crystal structure of DyCS.

```
DyCS
1.0
3.671 -1.971 0.000
3.671 1.971 0.000
-0.164 0.000 9.593
Dy C S
2 2 2
direct
0.151 0.151 0.182
0.849 0.849 0.818
0.421 0.421 0.026
0.579 0.579 0.974
0.175 0.175 0.695
0.825 0.825 0.305
```

magnetic moment	0.0	Bohr magnetons per cell
formation energy from raw total energies	-277	kJ/mol of formula units
symmetry	C2/m (12)



# 8
VASP calculation (PBE) on an optimized crystal structure of LiGe2PdSe.

```
LiGe2PdSe
1.0
5.156 0.000 0.000
0.000 5.156 0.000
0.000 0.000 4.332
Li Ge Pd Se
1 2 1 1
direct
0.000 0.000 0.000
0.000 0.500 0.500
0.500 0.000 0.500
0.500 0.500 0.000
0.000 0.000 0.500
```

magnetic moment	0.0	Bohr magnetons per cell
formation energy from raw total energies	171	kJ/mol of formula units
symmetry	P4/mmm (123)



# 9
VASP calculation (PBE) on an optimized crystal structure of SrAgSb2Pt.

```
SrAgSb2Pt
1.0
5.298 0.000 0.000
0.000 5.298 0.000
0.000 0.000 5.220
Sr Ag Sb Pt
1 1 2 1
direct
0.000 0.000 0.000
0.500 0.500 0.000
0.000 0.500 0.500
0.500 0.000 0.500
0.500 0.500 0.500
```

magnetic moment	0.0	Bohr magnetons per cell
formation energy from raw total energies	-113	kJ/mol of formula units
symmetry	P4/mmm (123)



# 10
VASP calculation (PBE) on an optimized crystal structure of KGaTe2O8.

```
KGaTe2O8
1.0
4.972 0.000 0.000
0.624 4.947 0.000
0.006 0.005 6.412
K Ga Te O
1 1 2 8
direct
0.000 0.000 0.000
0.000 0.000 0.500
0.500 0.500 0.257
0.500 0.500 0.743
0.219 0.789 0.713
0.219 0.790 0.287
0.310 0.318 0.500
0.332 0.341 0.000
0.668 0.659 0.000
0.690 0.682 0.500
0.781 0.210 0.713
0.781 0.211 0.287
```

magnetic moment	0.0	Bohr magnetons per cell
formation energy from raw total energies	-1147	kJ/mol of formula units
symmetry	P-1 (2)



# 11
VASP calculation (PBE) on an optimized crystal structure of Tm2TcHg.

```
Tm2TcHg
1.0
3.472 0.000 0.000
0.000 3.472 0.000
0.000 0.000 7.351
Tm Tc Hg
2 1 1
direct
0.000 0.000 0.219
0.000 0.000 0.781
0.500 0.500 0.000
0.500 0.500 0.500
```

E_form	-306	meV per atom
magnetic moment	0.0	Bohr magnetons per cell
symmetry	P4/mmm (123)



# 12
VASP calculation (PBE) on an optimized crystal structure of HfSc2PbC.

```
HfSc2PbC
1.0
4.569 0.000 0.000
0.000 4.569 0.000
0.000 0.000 4.524
Hf Sc Pb C
1 2 1 1
direct
0.000 0.000 0.000
0.000 0.500 0.500
0.500 0.000 0.500
0.500 0.500 0.000
0.000 0.000 0.500
```

E_form	-550	meV per atom
magnetic moment	0.0	Bohr magnetons per cell
symmetry	P4/mmm (123)